VASP calculation (GGA+U) on crystalline CaNi2O4 at its relaxed geometry.

Geometry as CIF:
```
data_CaNi2O4
_chemical_formula_sum 'Ca2 Ni4 O8'
_symmetry_space_group_name_H-M 'P 1'
_symmetry_Int_Tables_number 1
_cell_length_a 6.1099
_cell_length_b 6.1099
_cell_length_c 6.1099
_cell_angle_alpha 119.11
_cell_angle_beta 118.82
_cell_angle_gamma 91.81
loop_
_symmetry_equiv_pos_as_xyz
'x,y,z'
loop_
_atom_site_label
_atom_site_type_symbol
_atom_site_fract_x
_atom_site_fract_y
_atom_site_fract_z
Ca1 Ca 0.5000 0.0000 0.0000
Ca2 Ca 0.5000 0.5000 0.5000
Ni1 Ni 0.8900 0.1400 0.7500
Ni2 Ni 0.1100 0.8600 0.2500
Ni3 Ni 0.5000 0.5000 0.0000
Ni4 Ni 0.0000 0.5000 0.5000
O1 O 0.7373 0.7265 0.0109
O2 O 0.2332 0.7249 0.9917
O3 O 0.2156 0.7265 0.4891
O4 O 0.2332 0.2415 0.5083
O5 O 0.7668 0.7585 0.4917
O6 O 0.7668 0.2751 0.0083
O7 O 0.7844 0.2735 0.5109
O8 O 0.2627 0.2735 0.9891
```

Energy = -70.35 eV per cell
Relative energy among the computed polymorphs = 225.1 meV/atom
Total magnetization = 4.033 μB/f.u.
Space-group type = Imma